A plane-wave DFT calculation with PBE-GGA was carried out for a relaxed structure of NaGdSbPd.

Structure (CIF):
```
data_NaGdSbPd
_chemical_formula_sum 'Na4 Gd4 Sb4 Pd4'
_cell_length_a 7.218
_cell_length_b 7.218
_cell_length_c 7.218
_cell_angle_alpha 90.00
_cell_angle_beta 90.00
_cell_angle_gamma 90.00
_symmetry_space_group_name_H-M 'F -4 3 m'
_symmetry_Int_Tables_number 216
_symmetry_space_group_name_Hall 'F -4 2 3'
loop_
_atom_site_label
_atom_site_type_symbol
_atom_site_fract_x
_atom_site_fract_y
_atom_site_fract_z
_atom_site_occupancy
Na1 Na 0.000 0.000 0.000 1
Gd1 Gd 0.000 0.000 0.500 1
Sb1 Sb 0.250 0.250 0.250 1
Pd1 Pd 0.250 0.250 0.750 1
```

## Properties
E_form (uncorrected) = -591 meV/atom
Total moment = 7.02 μB/f.u.
Final energy = -6.770 eV/atom
N(E_F) = 0.3571 states/eV/atom